# 1
VASP calculation (PBE) on Zn6GaPt after structural relaxation.

Structure (CIF):
```
data_Zn6GaPt
_symmetry_space_group_name_H-M 'C 1 2/m 1'
_symmetry_Int_Tables_number 12
_symmetry_space_group_name_Hall '-C 2y'
_cell_length_a 5.551
_cell_length_b 9.305
_cell_length_c 5.454
_cell_angle_alpha 90.00
_cell_angle_beta 115.52
_cell_angle_gamma 90.00
loop_
_atom_site_label
_atom_site_type_symbol
_atom_site_fract_x
_atom_site_fract_y
_atom_site_fract_z
Zn1 Zn 0.007 0.000 0.248
Zn2 Zn 0.245 0.261 0.254
Ga1 Ga 0.000 0.500 0.500
Pt1 Pt 0.000 0.500 0.000
```

Values from the calculation:
formation energy	-0.092	eV per atom



# 2
VASP calculation (PBE) on Dy3MnTl4S8 after structural relaxation.

Structure (CIF):
```
data_Dy3MnTl4S8
_symmetry_space_group_name_H-M 'R -3 m'
_symmetry_Int_Tables_number 166
_symmetry_space_group_name_Hall '-R 3 2"'
_cell_length_a 7.8963
_cell_length_b 7.8963
_cell_length_c 22.3675
_cell_angle_alpha 90.00
_cell_angle_beta 90.00
_cell_angle_gamma 120.00
loop_
_atom_site_label
_atom_site_type_symbol
_atom_site_fract_x
_atom_site_fract_y
_atom_site_fract_z
Dy1 Dy 0.0000 0.5000 0.0000
Mn1 Mn 0.0000 0.0000 0.0000
Tl1 Tl 0.0000 0.0000 0.5000
Tl2 Tl 0.0000 0.5000 0.5000
S1 S 0.0000 0.0000 0.2663
S2 S 0.0191 0.5095 0.7307
```

Values from the calculation:
raw formation energy	-19.03	eV per formula unit



# 3
VASP calculation (PBE) on Pr2Nd7Sc after structural relaxation.

Structure (CIF):
```
data_Pr2Nd7Sc
_symmetry_space_group_name_H-M 'C m m m'
_symmetry_Int_Tables_number 65
_symmetry_space_group_name_Hall '-C 2 2'
_cell_length_a 6.775
_cell_length_b 29.328
_cell_length_c 3.480
_cell_angle_alpha 90.00
_cell_angle_beta 90.00
_cell_angle_gamma 90.00
loop_
_atom_site_label
_atom_site_type_symbol
_atom_site_fract_x
_atom_site_fract_y
_atom_site_fract_z
Pr1 Pr 0.000 0.203 0.000
Nd1 Nd 0.000 0.000 0.000
Nd2 Nd 0.000 0.312 0.500
Nd3 Nd 0.239 0.404 0.000
Sc1 Sc 0.000 0.500 0.500
```

Values from the calculation:
formation energy	0.164	eV per atom



# 4
VASP calculation (PBE) on BaSmAuSe3 after structural relaxation.

Structure (CIF):
```
data_BaSmAuSe3
_symmetry_space_group_name_H-M 'P 1 21/m 1'
_symmetry_Int_Tables_number 11
_symmetry_space_group_name_Hall '-P 2yb'
_cell_length_a 8.796
_cell_length_b 4.285
_cell_length_c 9.629
_cell_angle_alpha 90.00
_cell_angle_beta 105.37
_cell_angle_gamma 90.00
loop_
_atom_site_label
_atom_site_type_symbol
_atom_site_fract_x
_atom_site_fract_y
_atom_site_fract_z
Ba1 Ba 0.201 0.250 0.247
Sm1 Sm 0.321 0.750 0.836
Au1 Au 0.101 0.250 0.591
Se1 Se 0.099 0.250 0.867
Se2 Se 0.253 0.750 0.522
Se3 Se 0.444 0.750 0.154
```

Values from the calculation:
raw formation energy	-8.99	eV per formula unit



# 5
VASP calculation (PBE) on KAlInGe2 after structural relaxation.

Structure (CIF):
```
data_KAlInGe2
_symmetry_space_group_name_H-M 'P 4/m m m'
_symmetry_Int_Tables_number 123
_symmetry_space_group_name_Hall '-P 4 2'
_cell_length_a 5.418
_cell_length_b 5.418
_cell_length_c 5.520
_cell_angle_alpha 90.00
_cell_angle_beta 90.00
_cell_angle_gamma 90.00
loop_
_atom_site_label
_atom_site_type_symbol
_atom_site_fract_x
_atom_site_fract_y
_atom_site_fract_z
K1 K 0.000 0.000 0.000
Al1 Al 0.500 0.500 0.000
In1 In 0.500 0.500 0.500
Ge1 Ge 0.000 0.500 0.500
```

Values from the calculation:
formation energy	0.551	eV per atom



# 6
VASP calculation (PBE) on TaAs2Ru after structural relaxation.

Structure (CIF):
```
data_TaAs2Ru
_symmetry_space_group_name_H-M 'P 1 2/m 1'
_symmetry_Int_Tables_number 10
_symmetry_space_group_name_Hall '-P 2y'
_cell_length_a 3.101
_cell_length_b 3.777
_cell_length_c 5.704
_cell_angle_alpha 90.00
_cell_angle_beta 90.07
_cell_angle_gamma 90.00
loop_
_atom_site_label
_atom_site_type_symbol
_atom_site_fract_x
_atom_site_fract_y
_atom_site_fract_z
Ta1 Ta 0.000 0.000 0.000
As1 As 0.499 0.500 0.764
Ru1 Ru 0.500 0.000 0.500
```

Values from the calculation:
formation energy	0.021	eV per atom



# 7
VASP calculation (PBE) on TcBAu2 after structural relaxation.

Structure (CIF):
```
data_TcBAu2
_symmetry_space_group_name_H-M 'F m -3 m'
_symmetry_Int_Tables_number 225
_symmetry_space_group_name_Hall '-F 4 2 3'
_cell_length_a 6.293
_cell_length_b 6.293
_cell_length_c 6.293
_cell_angle_alpha 90.00
_cell_angle_beta 90.00
_cell_angle_gamma 90.00
loop_
_atom_site_label
_atom_site_type_symbol
_atom_site_fract_x
_atom_site_fract_y
_atom_site_fract_z
Tc1 Tc 0.000 0.000 0.000
B1 B 0.000 0.000 0.500
Au1 Au 0.250 0.250 0.250
```

Values from the calculation:
formation energy	1.197	eV per atom



# 8
VASP calculation (PBE) on KMgGaSn2 after structural relaxation.

Structure (CIF):
```
data_KMgGaSn2
_symmetry_space_group_name_H-M 'I -4 m 2'
_symmetry_Int_Tables_number 119
_symmetry_space_group_name_Hall 'I -4 -2'
_cell_length_a 4.913
_cell_length_b 4.913
_cell_length_c 12.020
_cell_angle_alpha 90.00
_cell_angle_beta 90.00
_cell_angle_gamma 90.00
loop_
_atom_site_label
_atom_site_type_symbol
_atom_site_fract_x
_atom_site_fract_y
_atom_site_fract_z
K1 K 0.000 0.000 0.000
Mg1 Mg 0.000 0.500 0.750
Ga1 Ga 0.000 0.500 0.250
Sn1 Sn 0.000 0.000 0.380
```

Values from the calculation:
formation energy	-0.180	eV per atom